# Co2Ru2F | Alexandria | PBE+U | relaxed
data_Co2Ru2F
_chemical_formula_sum 'Co4 Ru4 F2'
_cell_length_a 3.3247
_cell_length_b 2.7793
_cell_length_c 15.2967
_cell_angle_alpha 90.00
_cell_angle_beta 90.00
_cell_angle_gamma 90.00
_symmetry_space_group_name_H-M 'P 1'
_symmetry_Int_Tables_number 1
_symmetry_space_group_name_Hall 'P 1'
loop_
_atom_site_label
_atom_site_fract_x
_atom_site_fract_y
_atom_site_fract_z
_atom_site_occupancy
Ru1 0.5000 0.0000 0.5407 1
Ru2 0.0000 0.5000 0.6294 1
Ru3 0.5000 0.5000 0.0407 1
Ru4 0.0000 0.0000 0.1294 1
Co1 0.5000 0.0000 0.3657 1
Co2 0.0000 0.0000 0.9450 1
Co3 0.5000 0.5000 0.8657 1
Co4 0.0000 0.5000 0.4450 1
F1 0.5000 0.0000 0.2384 1
F2 0.5000 0.5000 0.7384 1
# Energy relative to the lowest polymorph listed for this composition ... 0.025 eV/atom